1.
The following is a DFT calculation (PBE) of a relaxed Fe2AsBr crystal.

a b c (Å): 3.019 3.900 6.364
angles (deg): 90.00 90.00 90.00
Fractional coordinates of all 4 atoms:
Fe: 0.000 0.000 0.000
Fe: 0.500 0.000 0.500
As: 0.000 0.500 0.500
Br: 0.500 0.500 0.000

Results
E_form (uncorrected), eV per atom: 0.6202
E, eV/atom: -5.192
Density of states at the Fermi level, states/eV/f.u.: 5.3
Distance to the lowest polymorph of the same formula, eV per formula unit: 2.38

=====

2.
The following is a DFT calculation (PBE) of a relaxed Pm4SiSCl2 crystal.

a b c (Å): 7.075 4.158 7.313
angles (deg): 90.00 109.54 90.00
Fractional coordinates of all 8 atoms:
Pm: 0.234 0.000 0.214
Pm: 0.256 0.500 0.781
Pm: 0.744 0.500 0.219
Pm: 0.766 0.000 0.786
Si: 0.500 0.000 0.000
S: 0.000 0.500 0.000
Cl: 0.000 0.000 0.500
Cl: 0.500 0.500 0.500

Results
E_form (uncorrected), eV per atom: -1.4671
E, eV/atom: -5.498
Density of states at the Fermi level, states/eV/f.u.: 3.5

=====

3.
The following is a DFT calculation (PBE) of a relaxed TePIrPt crystal.

a b c (Å): 6.700 3.832 6.189
angles (deg): 90.00 111.16 90.00
Fractional coordinates of all 8 atoms:
Te: 0.000 0.000 0.000
Te: 0.500 0.500 0.000
P: 0.464 0.000 0.529
P: 0.964 0.500 0.529
Ir: 0.172 0.000 0.660
Ir: 0.672 0.500 0.660
Pt: 0.217 0.500 0.329
Pt: 0.717 0.000 0.329

Results
E_form (uncorrected), eV per atom: -0.1596
E, eV/atom: -6.023
Density of states at the Fermi level, states/eV/f.u.: 2.3
Distance to the lowest polymorph of the same formula, eV per formula unit: 0.57

=====

4.
The following is a DFT calculation (PBE) of a relaxed Mg2POs crystal.

a b c (Å): 2.842 2.842 7.999
angles (deg): 90.00 90.00 90.00
Fractional coordinates of all 4 atoms:
Mg: 0.000 0.000 0.244
Mg: 0.000 0.000 0.756
P: 0.500 0.500 0.500
Os: 0.500 0.500 0.000

Results
E_form, meV per atom: 142
E, eV/atom: -4.815
Density of states at the Fermi level, states/eV/f.u.: 3.8

=====

5.
The following is a DFT calculation (PBE) of a relaxed Ga5Te3Au12 crystal.

a b c (Å): 13.586 13.586 13.586
angles (deg): 109.47 109.47 109.47
Fractional coordinates of all 80 atoms:
Ga: 0.000 0.000 0.000
Ga: 0.000 0.000 0.500
Ga: 0.000 0.500 0.000
Ga: 0.000 0.500 0.500
Ga: 0.125 0.750 0.875
Ga: 0.125 0.875 0.250
Ga: 0.250 0.125 0.875
Ga: 0.250 0.625 0.375
Ga: 0.375 0.250 0.625
Ga: 0.375 0.625 0.750
Ga: 0.500 0.000 0.000
Ga: 0.500 0.000 0.500
Ga: 0.500 0.500 0.000
Ga: 0.500 0.500 0.500
Ga: 0.625 0.375 0.250
Ga: 0.625 0.750 0.375
Ga: 0.750 0.375 0.625
Ga: 0.750 0.875 0.125
Ga: 0.875 0.125 0.750
Ga: 0.875 0.250 0.125
Te: 0.125 0.250 0.375
Te: 0.125 0.375 0.750
Te: 0.250 0.375 0.125
Te: 0.250 0.875 0.625
Te: 0.375 0.125 0.250
Te: 0.375 0.750 0.125
Te: 0.625 0.250 0.875
Te: 0.625 0.875 0.750
Te: 0.750 0.125 0.375
Te: 0.750 0.625 0.875
Te: 0.875 0.625 0.250
Te: 0.875 0.750 0.625
Au: 0.051 0.220 0.128
Au: 0.051 0.331 0.923
Au: 0.077 0.628 0.408
Au: 0.077 0.949 0.669
Au: 0.092 0.720 0.669
Au: 0.092 0.872 0.423
Au: 0.128 0.051 0.220
Au: 0.128 0.577 0.908
Au: 0.169 0.220 0.592
Au: 0.169 0.449 0.577
Au: 0.220 0.128 0.051
Au: 0.220 0.592 0.169
Au: 0.280 0.331 0.908
Au: 0.280 0.449 0.372
Au: 0.331 0.908 0.280
Au: 0.331 0.923 0.051
Au: 0.372 0.280 0.449
Au: 0.372 0.592 0.923
Au: 0.408 0.077 0.628
Au: 0.408 0.831 0.780
Au: 0.423 0.092 0.872
Au: 0.423 0.831 0.551
Au: 0.449 0.372 0.280
Au: 0.449 0.577 0.169
Au: 0.551 0.423 0.831
Au: 0.551 0.628 0.720
Au: 0.577 0.169 0.449
Au: 0.577 0.908 0.128
Au: 0.592 0.169 0.220
Au: 0.592 0.923 0.372
Au: 0.628 0.408 0.077
Au: 0.628 0.720 0.551
Au: 0.669 0.077 0.949
Au: 0.669 0.092 0.720
Au: 0.720 0.551 0.628
Au: 0.720 0.669 0.092
Au: 0.780 0.408 0.831
Au: 0.780 0.872 0.949
Au: 0.831 0.551 0.423
Au: 0.831 0.780 0.408
Au: 0.872 0.423 0.092
Au: 0.872 0.949 0.780
Au: 0.908 0.128 0.577
Au: 0.908 0.280 0.331
Au: 0.923 0.051 0.331
Au: 0.923 0.372 0.592
Au: 0.949 0.669 0.077
Au: 0.949 0.780 0.872

Results
E_form (uncorrected), eV per atom: 0.1070
E, eV/atom: -3.087
Density of states at the Fermi level, states/eV/f.u.: 13.1

=====

6.
The following is a DFT calculation (PBE) of a relaxed CaAcTbCd crystal.

a b c (Å): 8.138 8.138 8.138
angles (deg): 90.00 90.00 90.00
Fractional coordinates of all 16 atoms:
Ca: 0.000 0.000 0.000
Ca: 0.000 0.500 0.500
Ca: 0.500 0.000 0.500
Ca: 0.500 0.500 0.000
Ac: 0.250 0.250 0.250
Ac: 0.250 0.750 0.750
Ac: 0.750 0.250 0.750
Ac: 0.750 0.750 0.250
Tb: 0.000 0.000 0.500
Tb: 0.000 0.500 0.000
Tb: 0.500 0.000 0.000
Tb: 0.500 0.500 0.500
Cd: 0.250 0.250 0.750
Cd: 0.250 0.750 0.250
Cd: 0.750 0.250 0.250
Cd: 0.750 0.750 0.750

Results
E_form, meV per atom: 82
E, eV/atom: -2.831
Density of states at the Fermi level, states/eV/f.u.: 3.9
Distance to the lowest polymorph of the same formula, eV per formula unit: 0.88

=====

7.
The following is a DFT calculation (PBE) of a relaxed Na4LiSn3O8 crystal.

a b c (Å): 6.691 6.691 6.691
angles (deg): 58.07 58.07 58.07
Fractional coordinates of all 16 atoms:
Na: 0.000 0.000 0.000
Na: 0.000 0.500 0.500
Na: 0.500 0.000 0.500
Na: 0.500 0.500 0.000
Li: 0.500 0.500 0.500
Sn: 0.000 0.000 0.500
Sn: 0.000 0.500 0.000
Sn: 0.500 0.000 0.000
O: 0.217 0.743 0.743
O: 0.239 0.239 0.239
O: 0.257 0.257 0.783
O: 0.257 0.783 0.257
O: 0.743 0.217 0.743
O: 0.743 0.743 0.217
O: 0.761 0.761 0.761
O: 0.783 0.257 0.257

Results
E_form (uncorrected), eV per atom: -1.6485
E, eV/atom: -5.328
Density of states at the Fermi level, states/eV/f.u.: 1.2

=====

8.
The following is a DFT calculation (PBE) of a relaxed ThIn4Pb crystal.

a b c (Å): 6.131 6.131 6.131
angles (deg): 60.00 60.00 60.00
Fractional coordinates of all 6 atoms:
Th: 0.000 0.000 0.000
In: 0.125 0.625 0.625
In: 0.625 0.125 0.625
In: 0.625 0.625 0.125
In: 0.625 0.625 0.625
Pb: 0.250 0.250 0.250

Results
E_form, meV per atom: -34
E, eV/atom: -3.714
Density of states at the Fermi level, states/eV/f.u.: 4.8